{"formula": "Nd7Te2Pt2", "functional": "PBE", "state": "optimized geometry", "cell": [[-1.917, -7.268, 6.295], [2.868, 8.715, 3.456], [-6.353, -6.636, -3.425]], "species": ["Pt", "Pt", "Nd", "Nd", "Nd", "Te", "Te", "Nd", "Nd", "Nd", "Nd"], "frac_coords": [[0.667, 0.405, 0.262], [0.143, 0.405, 0.738], [0.524, 0.896, 0.628], [0.280, 0.099, 0.181], [0.918, 0.099, 0.819], [0.241, 0.241, 0.000], [0.645, 0.145, 0.500], [0.597, 0.741, 0.856], [0.268, 0.896, 0.372], [0.978, 0.478, 0.500], [0.886, 0.741, 0.144]], "magmom_total_mub_per_fu": 0.01, "e_tot_ev_per_atom": -5.6703, "sg": "Imm2"}